# 1
Here is a relaxed FeCoBiW2 crystal from the Alexandria database. Energies are from GGA-PBE.

Cell: 4.526 4.526 4.461 Å, 90.00 90.00 90.00°
Space group P4/mmm (No. 123)
Inequivalent atoms, fractional coordinates:
1 Fe 0.000 0.000 0.000 x1
2 Co 0.000 0.000 0.500 x1
3 Bi 0.500 0.500 0.500 x1
4 W 0.000 0.500 0.000 x2

Summary:
- spin magnetization (μB per cell) = 1.6
- E (eV per cell) = -38.9

***

# 2
Here is a relaxed AlVAg2Pb crystal from the Alexandria database. Energies are from GGA-PBE.

Cell: 5.089 5.089 5.264 Å, 90.00 90.00 90.00°
Space group P4/mmm (No. 123)
Inequivalent atoms, fractional coordinates:
1 Al 0.000 0.000 0.000 x1
2 V 0.500 0.500 0.500 x1
3 Ag 0.000 0.500 0.500 x2
4 Pb 0.500 0.500 0.000 x1

Summary:
- spin magnetization (μB per cell) = 3.0
- E (eV per cell) = -17.2

***

# 3
Here is a relaxed Er4Ga2S crystal from the Alexandria database. Energies are from GGA-PBE.

Cell: 11.759 4.085 8.402 Å, 90.00 124.40 90.00°
Space group C2/m (No. 12)
Inequivalent atoms, fractional coordinates:
1 Er 0.088 0.000 0.372 x4
2 Er 0.175 0.500 0.084 x4
3 Ga 0.123 0.500 0.664 x4
4 S 0.000 0.000 0.000 x2

Summary:
- spin magnetization (μB per cell) = 0.0
- formation energy (no corrections) (meV/atom) = -921.5
- E (eV per cell) = -69.8

***

# 4
Here is a relaxed LaIO3 crystal from the Alexandria database. Energies are from GGA-PBE.

Cell: 4.539 4.539 4.539 Å, 90.00 90.00 90.00°
Space group Pm-3m (No. 221)
Inequivalent atoms, fractional coordinates:
1 La 0.000 0.000 0.000 x1
2 I 0.500 0.500 0.500 x1
3 O 0.000 0.000 0.500 x3

Summary:
- spin magnetization (μB per cell) = 0.0
- formation energy (no corrections) (meV/atom) = -866.2
- E (eV per cell) = -25.7

***

# 5
Here is a relaxed PaBeIr crystal from the Alexandria database. Energies are from GGA-PBE.

Cell: 2.990 2.990 10.767 Å, 90.00 90.00 90.00°
Space group I4mm (No. 107)
Inequivalent atoms, fractional coordinates:
1 Pa 0.000 0.000 0.000 x2
2 Be 0.000 0.000 0.702 x2
3 Ir 0.000 0.000 0.301 x2

Summary:
- spin magnetization (μB per cell) = 0.0
- ΔE to the lowest computed polymorph (eV per atom) = 0.238
- E (eV per cell) = -46.5

***

# 6
Here is a relaxed Li2Mg3 crystal from the Alexandria database. Energies are from GGA-PBE.

Cell: 3.1147 3.1147 38.4747 Å, 90.00 90.00 120.00°
Space group R-3m (No. 166, hexagonal axes)
Inequivalent atoms, fractional coordinates:
1 Li 0.0000 0.0000 0.1002 x6
2 Mg 0.0000 0.0000 0.2983 x6
3 Mg 0.0000 0.0000 0.5000 x3

Summary:
- spin magnetization (μB per cell) = 0.0
- ΔE to the lowest computed polymorph (eV per atom) = 0.034
- E (eV per cell) = -26.2

***

# 7
Here is a relaxed K3Nb2CuSe12 crystal from the Alexandria database. Energies are from GGA-PBE.

Cell: 9.715 13.920 17.694 Å, 90.00 118.40 90.00°
Space group P2_1/c (No. 14)
Inequivalent atoms, fractional coordinates:
1 K 0.142 0.090 0.229 x4
2 K 0.237 0.584 0.994 x4
3 K 0.337 0.103 0.842 x4
4 Nb 0.210 0.725 0.223 x4
5 Nb 0.411 0.224 0.578 x4
6 Cu 0.110 0.196 0.423 x4
7 Se 0.003 0.111 0.005 x4
8 Se 0.003 0.640 0.638 x4
9 Se 0.062 0.703 0.800 x4
10 Se 0.074 0.573 0.160 x4
11 Se 0.129 0.236 0.565 x4
12 Se 0.334 0.721 0.630 x4
13 Se 0.342 0.664 0.391 x4
14 Se 0.360 0.609 0.828 x4
15 Se 0.364 0.169 0.436 x4
16 Se 0.383 0.073 0.658 x4
17 Se 0.402 0.090 0.066 x4
18 Se 0.493 0.681 0.254 x4

Summary:
- spin magnetization (μB per cell) = 0.0
- formation energy (no corrections) (meV/atom) = -717.5
- E (eV per cell) = -329.0

***

# 8
Here is a relaxed ErPuSi2 crystal from the Alexandria database. Energies are from GGA-PBE.

Cell: 3.787 4.275 10.630 Å, 90.00 90.00 90.00°
Space group Amm2 (No. 38)
Inequivalent atoms, fractional coordinates:
1 Er 0.000 0.000 0.000 x2
2 Pu 0.500 0.000 0.287 x2
3 Si 0.000 0.000 0.715 x2
4 Si 0.500 0.000 0.569 x2

Summary:
- spin magnetization (μB per cell) = 12.1
- ΔE to the lowest computed polymorph (eV per atom) = 0.000
- formation energy (no corrections) (meV/atom) = -602.1
- E (eV per cell) = -64.3

***

# 9
Here is a relaxed TiMnAsSe2 crystal from the Alexandria database. Energies are from GGA-PBE.

Cell: 4.910 4.910 4.942 Å, 90.00 90.00 90.00°
Space group P4/mmm (No. 123)
Inequivalent atoms, fractional coordinates:
1 Ti 0.000 0.000 0.000 x1
2 Mn 0.500 0.500 0.500 x1
3 As 0.000 0.000 0.500 x1
4 Se 0.000 0.500 0.000 x2

Summary:
- spin magnetization (μB per cell) = 4.9
- ΔE to the lowest computed polymorph (eV per atom) = 0.000
- formation energy (no corrections) (meV/atom) = 60.6
- E (eV per cell) = -28.4

***

# 10
Here is a relaxed Sm2BRh6 crystal from the Alexandria database. Energies are from GGA-PBE.

Cell: 7.365 13.161 3.269 Å, 90.00 90.00 90.00°
Space group Cmmm (No. 65)
Inequivalent atoms, fractional coordinates:
1 Sm 0.000 0.155 0.000 x4
2 B 0.000 0.500 0.500 x2
3 Rh 0.176 0.339 0.500 x8
4 Rh 0.189 0.500 0.000 x4

Summary:
- spin magnetization (μB per cell) = 0.0
- E (eV per cell) = -123.9

***

# 11
Here is a relaxed LaYCI crystal from the Alexandria database. Energies are from GGA-PBE.

Cell: 3.8452 3.8452 23.3269 Å, 90.00 90.00 120.00°
Space group R3m (No. 160, hexagonal axes)
Inequivalent atoms, fractional coordinates:
1 La 0.0000 0.0000 0.0000 x3
2 Y 0.0000 0.0000 0.2183 x3
3 C 0.0000 0.0000 0.6032 x3
4 I 0.0000 0.0000 0.7827 x3

Summary:
- spin magnetization (μB per cell) = 0.0
- formation energy (no corrections) (meV/atom) = -730.3
- E (eV per cell) = -75.3

***

# 12
Here is a relaxed YMnNi2 crystal from the Alexandria database. Energies are from GGA-PBE.

Cell: 4.860 4.633 11.911 Å, 90.00 90.00 90.00°
Space group Pmma (No. 51)
Inequivalent atoms, fractional coordinates:
1 Y 0.250 0.000 0.091 x2
2 Y 0.250 0.500 0.304 x2
3 Mn 0.250 0.000 0.675 x2
4 Mn 0.250 0.500 0.544 x2
5 Ni 0.000 0.000 0.500 x2
6 Ni 0.000 0.500 0.000 x2
7 Ni 0.250 0.258 0.846 x4

Summary:
- spin magnetization (μB per cell) = 14.8
- ΔE to the lowest computed polymorph (eV per atom) = 0.160
- E (eV per cell) = -109.9

***

> Which value of spin magnetization does entry 5 give?

0.0 μB per cell